(1)
6
Lattice="3.214 0.000 0.000 0.000 3.214 0.000 0.000 0.000 9.610" Properties=species:S:1:pos:R:3 comment="Ta2TiMo3 (GGA-PBE, relaxed)" dos_ef_per_ev_cell=6.86 space_group="P4/mmm, No. 123" volume_a3_per_cell=99.3 dft_energy_ev_per_atom=-10.8284 pbc="T T T"
Ta 0.000 0.000 1.625
Ta 0.000 0.000 7.986
Ti 0.000 0.000 4.805
Mo 1.607 1.607 0.000
Mo 1.607 1.607 3.231
Mo 1.607 1.607 6.379

***

(2)
10
Lattice="2.673 -6.593 0.000 2.673 6.593 0.000 0.000 0.000 4.627" Properties=species:S:1:pos:R:3 comment="Zn3CuIr (GGA-PBE, relaxed)" dos_ef_per_ev_cell=4.36 space_group="Cmcm, No. 63" volume_a3_per_cell=163.1 de_polymorph_ev_per_atom=0.140 dft_energy_ev_per_atom=-3.3463 pbc="T T T"
Zn 0.000 0.000 0.000
Zn 0.000 0.000 2.314
Zn 1.345 2.113 3.471
Zn 1.345 -2.113 1.157
Zn 4.001 2.113 3.471
Zn 4.001 -2.113 1.157
Cu 2.673 2.266 1.157
Cu 2.673 -2.266 3.471
Ir 2.673 4.342 3.471
Ir 2.673 -4.342 1.157

***

(3)
24
Lattice="8.702 0.000 0.000 0.000 6.005 0.000 0.000 0.000 7.484" Properties=species:S:1:pos:R:3 comment="KSO3F (GGA-PBE, relaxed)" dos_ef_per_ev_cell=0.00 space_group="Pnma, No. 62" volume_a3_per_cell=391.1 formation_energy_uncorrected_ev_per_fu=-11.031 dft_energy_ev_per_atom=-5.5004 pbc="T T T"
K 1.574 1.501 1.182
K 2.777 4.504 4.924
K 5.925 1.501 2.560
K 7.128 4.504 6.303
S 0.452 1.501 5.243
S 3.899 4.504 1.501
S 4.803 1.501 5.983
S 8.250 4.504 2.241
O 0.682 0.275 5.995
O 0.682 2.728 5.995
O 0.697 4.504 3.115
O 3.654 1.501 6.857
O 3.669 3.277 2.252
O 3.669 5.730 2.252
O 5.033 0.275 5.232
O 5.033 2.728 5.232
O 5.048 4.504 0.627
O 8.005 1.501 4.369
O 8.020 3.277 1.490
O 8.020 5.730 1.490
F 1.728 1.501 4.180
F 2.623 4.504 0.438
F 6.079 1.501 7.046
F 6.974 4.504 3.304